# Cs2SmTe6

A relaxed structure of Cs2SmTe6 (PBE-GGA, the Alexandria database).

Magnetic moment = 0.00 μB/cell
Space group = C2/m (12)
Total energy = -3.54 eV/atom

a b c (Å): 8.6549 8.6549 5.7279
angles (deg): 93.79 93.79 70.09
Closest atoms and distances in Å follow each position.
Fractional positions:
Cs: 0.1644 0.1644 0.3858  8 Te 3.87-4.11
Cs: 0.8356 0.8356 0.6142  8 Te 3.87-4.11
Sm: 0.5000 0.5000 0.0000  8 Te 3.25-3.32
Te: 0.1186 0.5776 0.1200  2 Te 2.99-3.03, 1 Sm 3.25
Te: 0.3305 0.6695 0.5000  2 Te 2.99, 2 Sm 3.32
Te: 0.4224 0.8814 0.8800  2 Te 2.99-3.03, 1 Sm 3.25
Te: 0.5776 0.1186 0.1200  2 Te 2.99-3.03, 1 Sm 3.25
Te: 0.6695 0.3305 0.5000  2 Te 2.99, 2 Sm 3.32
Te: 0.8814 0.4224 0.8800  2 Te 2.99-3.03, 1 Sm 3.25

# Li2LaPmSn2

A relaxed structure of Li2LaPmSn2 (PBE-GGA, the Alexandria database).

Magnetic moment = 0.00 μB/cell
Space group = P-3m1 (164)
Formation energy = -4.02 eV per formula unit

a b c (Å): 4.7954 4.7954 7.7998
angles (deg): 90.00 90.00 120.00
Closest atoms and distances in Å follow each position.
Fractional positions:
Li: 0.3333 0.6667 0.2804  3 Sn 2.77
Li: 0.6667 0.3333 0.7196  3 Sn 2.77
La: 0.0000 0.0000 0.0000  6 Sn 3.43, 6 Li 3.53
Pm: 0.0000 0.0000 0.5000  6 Li 3.26, 6 Sn 3.35
Sn: 0.3333 0.6667 0.7407  3 Li 2.77
Sn: 0.6667 0.3333 0.2593  3 Li 2.77

# ReNi2Se

A relaxed structure of ReNi2Se (PBE-GGA, the Alexandria database).

Magnetic moment = 0.00 μB/cell
Space group = Pmmm (47)
Total energy = -6.55 eV/atom

a b c (Å): 2.7126 3.6753 5.4929
angles (deg): 90.00 90.00 90.00
Closest atoms and distances in Å follow each position.
Fractional positions:
Re: 0.0000 0.0000 0.0000  8 Ni 2.60, 2 Re 2.71, 2 Se 2.75
Ni: 0.5000 0.5000 0.2280  3 Ni 2.50-2.71, 4 Re 2.60, 4 Se 2.73
Ni: 0.5000 0.5000 0.7720  3 Ni 2.50-2.71, 4 Re 2.60, 4 Se 2.73
Se: 0.0000 0.0000 0.5000  2 Se 2.71, 8 Ni 2.73, 2 Re 2.75